--- P ---
AcSmEr | GGA-PBE | optimized geometry

Lattice parameters (Å, degrees): 12.2040 5.8584 6.1213 90.00 90.00 90.00
Fractional coordinates of all 12 atoms:
Ac 0.2492 0.2500 0.0031
Ac 0.2508 0.7500 0.5031
Ac 0.7492 0.2500 0.4969
Ac 0.7508 0.7500 0.9969
Sm 0.0645 0.2500 0.4419
Sm 0.4355 0.7500 0.9419
Sm 0.5645 0.2500 0.0581
Sm 0.9355 0.7500 0.5581
Er 0.0661 0.7500 0.0579
Er 0.4339 0.2500 0.5579
Er 0.5661 0.7500 0.4421
Er 0.9339 0.2500 0.9421

Results
The symmetry is Pnma, No. 62.

***

--- Q ---
AcSmEr | GGA-PBE | optimized geometry

Lattice parameters (Å, degrees): 7.7791 7.7791 7.7791 90.00 90.00 90.00
Fractional coordinates of all 12 atoms:
Ac 0.1418 0.3582 0.6418
Ac 0.3582 0.6418 0.1418
Ac 0.6418 0.1418 0.3582
Ac 0.8582 0.8582 0.8582
Sm 0.1685 0.1685 0.1685
Sm 0.3315 0.8315 0.6685
Sm 0.6685 0.3315 0.8315
Sm 0.8315 0.6685 0.3315
Er 0.0300 0.9700 0.4700
Er 0.4700 0.0300 0.9700
Er 0.5300 0.5300 0.5300
Er 0.9700 0.4700 0.0300

Results
The symmetry is P2_13, No. 198.

***

--- R ---
AcSmEr | GGA-PBE | optimized geometry

Lattice parameters (Å, degrees): 3.7798 5.9931 9.8631 90.00 101.02 90.00
Fractional coordinates of all 6 atoms:
Ac 0.0000 0.0000 0.0000
Ac 0.4374 0.5000 0.8727
Sm 0.1173 0.5000 0.2293
Sm 0.3244 0.0000 0.6434
Er 0.6693 0.0000 0.3342
Er 0.7716 0.5000 0.5386

Results
The symmetry is Pm, No. 6.

***

Most stable to least stable: R, P, Q

***

--- P ---
AcSmEr | GGA-PBE | optimized geometry

Lattice parameters (Å, degrees): 8.1625 8.1625 8.1625 153.45 153.45 37.90
Fractional coordinates of all 3 atoms:
Ac 0.0000 0.0000 0.0000
Sm 0.6751 0.6751 0.0000
Er 0.3294 0.3294 0.0000

Results
The symmetry is I4mm, No. 107.

***

--- Q ---
AcSmEr | GGA-PBE | optimized geometry

Lattice parameters (Å, degrees): 5.8902 5.8902 3.5943 90.00 90.00 120.00
Fractional coordinates of all 3 atoms:
Ac 0.0000 0.0000 0.0000
Sm 0.6667 0.3333 0.4994
Er 0.3333 0.6667 0.9981

Results
The symmetry is P3m1, No. 156.

***

Most stable to least stable: P, Q

***

--- P ---
AcSm6Er3 | GGA-PBE | optimized geometry

Lattice parameters (Å, degrees): 12.7277 3.6748 14.6598 90.00 96.28 90.00
Fractional coordinates of all 20 atoms:
Ac 0.1562 0.2500 0.3684
Ac 0.8438 0.7500 0.6316
Sm 0.1000 0.2500 0.0357
Sm 0.1125 0.7500 0.5866
Sm 0.2604 0.7500 0.1816
Sm 0.2738 0.7500 0.9261
Sm 0.3348 0.2500 0.7288
Sm 0.3715 0.7500 0.5078
Sm 0.6285 0.2500 0.4922
Sm 0.6652 0.7500 0.2712
Sm 0.7262 0.2500 0.0739
Sm 0.7396 0.2500 0.8184
Sm 0.8875 0.2500 0.4134
Sm 0.9000 0.7500 0.9643
Er 0.0484 0.2500 0.7948
Er 0.4390 0.2500 0.3186
Er 0.4620 0.2500 0.0930
Er 0.5380 0.7500 0.9070
Er 0.5610 0.7500 0.6814
Er 0.9516 0.7500 0.2052

Results
The symmetry is P2_1/m, No. 11.

***

--- Q ---
AcSm6Er3 | GGA-PBE | optimized geometry

Lattice parameters (Å, degrees): 8.7426 8.7426 9.2961 90.00 90.00 98.80
Fractional coordinates of all 20 atoms:
Ac 0.2414 0.7586 0.5000
Ac 0.7586 0.2414 0.0000
Sm 0.0815 0.3014 0.3880
Sm 0.0818 0.4075 0.7378
Sm 0.2683 0.7317 0.0543
Sm 0.3014 0.0815 0.8880
Sm 0.4075 0.0818 0.2378
Sm 0.4914 0.5086 0.8054
Sm 0.5086 0.4914 0.3054
Sm 0.5925 0.9182 0.7378
Sm 0.6986 0.9185 0.3880
Sm 0.7317 0.2683 0.5543
Sm 0.9182 0.5925 0.2378
Sm 0.9185 0.6986 0.8880
Er 0.0227 0.9773 0.1568
Er 0.2021 0.3613 0.0725
Er 0.3613 0.2021 0.5725
Er 0.6387 0.7979 0.0725
Er 0.7979 0.6387 0.5725
Er 0.9773 0.0227 0.6568

Results
The symmetry is Cmc2_1, No. 36.

***

Most stable to least stable: P, Q

***

--- P ---
AcSm3Er | GGA-PBE | optimized geometry

Lattice parameters (Å, degrees): 4.9552 8.6612 9.6323 68.34 75.12 89.99
Fractional coordinates of all 10 atoms:
Ac 0.1161 0.1468 0.2685
Ac 0.8839 0.8532 0.7315
Sm 0.0582 0.7004 0.3836
Sm 0.2277 0.6292 0.0448
Sm 0.4160 0.5595 0.6681
Sm 0.5840 0.4405 0.3319
Sm 0.7723 0.3708 0.9552
Sm 0.9418 0.2996 0.6164
Er 0.3098 0.1098 0.8806
Er 0.6902 0.8902 0.1194

Results
The symmetry is P-1, No. 2.

***

--- Q ---
AcSm3Er | GGA-PBE | optimized geometry

Lattice parameters (Å, degrees): 3.6931 11.4938 9.3104 90.00 101.41 90.00
Fractional coordinates of all 10 atoms:
Ac 0.0295 0.2500 0.0580
Ac 0.9705 0.7500 0.9420
Sm 0.1670 0.0016 0.3335
Sm 0.1670 0.4984 0.3335
Sm 0.3610 0.2500 0.7222
Sm 0.6390 0.7500 0.2778
Sm 0.8330 0.5016 0.6665
Sm 0.8330 0.9984 0.6665
Er 0.2948 0.7500 0.5893
Er 0.7052 0.2500 0.4107

Results
The symmetry is P2_1/m, No. 11.

***

Most stable to least stable: P, Q

***

--- P ---
SrAc2Er | GGA-PBE | optimized geometry

Lattice parameters (Å, degrees): 3.9795 3.9795 10.8181 90.00 90.00 90.00
Fractional coordinates of all 4 atoms:
Sr 0.0000 0.0000 0.0000
Ac 0.5000 0.5000 0.2786
Ac 0.5000 0.5000 0.7214
Er 0.0000 0.0000 0.5000

Results
The symmetry is P4/mmm, No. 123.

***

--- Q ---
SrAc2Er | GGA-PBE | optimized geometry

Lattice parameters (Å, degrees): 6.2067 6.2067 6.2067 60.00 60.00 60.00
Fractional coordinates of all 4 atoms:
Sr 0.0000 0.0000 0.0000
Ac 0.2500 0.2500 0.2500
Ac 0.7500 0.7500 0.7500
Er 0.5000 0.5000 0.5000

Results
The symmetry is Fm-3m, No. 225.

***

Most stable to least stable: P, Q

***

--- P ---
SrAcEr | GGA-PBE | optimized geometry

Lattice parameters (Å, degrees): 8.6436 8.6436 8.6436 153.79 153.79 37.40
Fractional coordinates of all 3 atoms:
Sr 0.0000 0.0000 0.0000
Ac 0.6881 0.6881 0.0000
Er 0.3321 0.3321 0.0000

Results
The symmetry is I4mm, No. 107.

***

--- Q ---
SrAcEr | GGA-PBE | optimized geometry

Lattice parameters (Å, degrees): 3.8703 6.0397 10.8185 90.00 90.20 90.00
Fractional coordinates of all 6 atoms:
Sr 0.2454 0.2500 0.1125
Sr 0.7546 0.7500 0.8875
Ac 0.2568 0.2500 0.7298
Ac 0.7432 0.7500 0.2702
Er 0.2475 0.7500 0.5527
Er 0.7525 0.2500 0.4473

Results
The symmetry is P2_1/m, No. 11.

***

Most stable to least stable: P, Q

***

--- P ---
AcTb6Er2 | GGA-PBE | optimized geometry

Lattice parameters (Å, degrees): 9.2733 9.2733 9.2733 43.54 43.54 43.54
Fractional coordinates of all 9 atoms:
Ac 0.0000 0.0000 0.0000
Tb 0.0459 0.0479 0.5607
Tb 0.0479 0.5607 0.0459
Tb 0.2841 0.7778 0.2859
Tb 0.2859 0.2841 0.7778
Tb 0.5607 0.0459 0.0479
Tb 0.7778 0.2859 0.2841
Er 0.5820 0.5820 0.5820
Er 0.7599 0.7599 0.7599

Results
The symmetry is R3, No. 146.

***

--- Q ---
AcTb6Er2 | GGA-PBE | optimized geometry

Lattice parameters (Å, degrees): 3.6192 3.6192 26.4950 90.00 90.00 120.00
Fractional coordinates of all 9 atoms:
Ac 0.0000 0.0000 0.0000
Tb 0.0000 0.0000 0.2249
Tb 0.0000 0.0000 0.4350
Tb 0.0000 0.0000 0.5650
Tb 0.0000 0.0000 0.7751
Tb 0.3333 0.6667 0.1183
Tb 0.3333 0.6667 0.8817
Er 0.3333 0.6667 0.3317
Er 0.3333 0.6667 0.6683

Results
The symmetry is P-6m2, No. 187.

***

Most stable to least stable: Q, P

***

--- P ---
Ac2TbEr | GGA-PBE | optimized geometry

Lattice parameters (Å, degrees): 6.3468 3.7972 6.5864 90.00 110.26 90.00
Fractional coordinates of all 4 atoms:
Ac 0.0000 0.0000 0.0000
Ac 0.0000 0.5000 0.5000
Tb 0.5000 0.0000 0.5000
Er 0.5000 0.5000 0.0000

Results
The symmetry is P2/m, No. 10.

***

--- Q ---
Ac2TbEr | GGA-PBE | optimized geometry

Lattice parameters (Å, degrees): 12.2536 12.2536 12.2536 17.80 17.80 17.80
Fractional coordinates of all 4 atoms:
Ac 0.0000 0.0000 0.0000
Ac 0.1651 0.1651 0.1651
Tb 0.5812 0.5812 0.5812
Er 0.7498 0.7498 0.7498

Results
The symmetry is R3m, No. 160.

***

--- R ---
Ac2TbEr | GGA-PBE | optimized geometry

Lattice parameters (Å, degrees): 13.2118 13.2118 13.2118 16.08 16.08 16.08
Fractional coordinates of all 4 atoms:
Ac 0.0883 0.0883 0.0883
Ac 0.9117 0.9117 0.9117
Tb 0.5000 0.5000 0.5000
Er 0.0000 0.0000 0.0000

Results
The symmetry is R-3m, No. 166.

***

--- S ---
Ac2TbEr | GGA-PBE | optimized geometry

Lattice parameters (Å, degrees): 5.9761 5.9761 5.9761 60.00 60.00 60.00
Fractional coordinates of all 4 atoms:
Ac 0.2500 0.2500 0.2500
Ac 0.7500 0.7500 0.7500
Tb 0.0000 0.0000 0.0000
Er 0.5000 0.5000 0.5000

Results
The symmetry is Fm-3m, No. 225.

***

Most stable to least stable: P, Q, S, R

***

--- P ---
AcTb2Er | GGA-PBE | optimized geometry

Lattice parameters (Å, degrees): 3.6681 3.6682 20.5634 90.00 90.00 90.00
Fractional coordinates of all 8 atoms:
Ac 0.2493 0.2500 0.4259
Ac 0.7507 0.7500 0.5741
Tb 0.2504 0.2500 0.9411
Tb 0.2513 0.2500 0.7072
Tb 0.7487 0.7500 0.2928
Tb 0.7496 0.7500 0.0589
Er 0.2489 0.2500 0.1764
Er 0.7511 0.7500 0.8236

Results
The symmetry is P2_1/m, No. 11.

***

--- Q ---
AcTb2Er | GGA-PBE | optimized geometry

Lattice parameters (Å, degrees): 11.9972 11.9972 11.9972 17.64 17.64 17.64
Fractional coordinates of all 4 atoms:
Ac 0.0000 0.0000 0.0000
Tb 0.2461 0.2461 0.2461
Tb 0.4214 0.4214 0.4214
Er 0.8340 0.8340 0.8340

Results
The symmetry is R3m, No. 160.

***

Most stable to least stable: P, Q

***

--- P ---
AcTb2Er | GGA-PBE | optimized geometry

Lattice parameters (Å, degrees): 12.8273 12.8273 12.8273 16.02 16.02 16.02
Fractional coordinates of all 4 atoms:
Ac 0.0000 0.0000 0.0000
Tb 0.0930 0.0930 0.0930
Tb 0.9070 0.9070 0.9070
Er 0.5000 0.5000 0.5000

Results
The symmetry is R-3m, No. 166.

***

--- Q ---
AcTb2Er | GGA-PBE | optimized geometry

Lattice parameters (Å, degrees): 5.1425 5.1425 5.2065 90.00 90.00 90.00
Fractional coordinates of all 4 atoms:
Ac 0.0000 0.0000 0.0000
Tb 0.0000 0.5000 0.5000
Tb 0.5000 0.0000 0.5000
Er 0.5000 0.5000 0.0000

Results
The symmetry is P4/mmm, No. 123.

***

--- R ---
AcTb2Er | GGA-PBE | optimized geometry

Lattice parameters (Å, degrees): 5.8193 5.8193 5.8193 60.00 60.00 60.00
Fractional coordinates of all 4 atoms:
Ac 0.0000 0.0000 0.0000
Tb 0.2500 0.2500 0.2500
Tb 0.7500 0.7500 0.7500
Er 0.5000 0.5000 0.5000

Results
The symmetry is Fm-3m, No. 225.

***

Most stable to least stable: Q, R, P